A PBEsol-optimized structure of BaYCd2. Source: the Alexandria database, functional meta-GGA SCAN.

The calculation puts the formation energy at -274 meV per atom. For the offset from the most stable computed form, the calculation gives 136.0 meV/atom. As for the magnetization: 0.00 μB/cell.

Unit cell a=5.528 b=5.528 c=5.528 alpha=60.00 beta=60.00 gamma=60.00
Atoms (fractional coordinates):
Cd (0.250, 0.250, 0.250)
Cd (0.750, 0.750, 0.750)
Ba (0.500, 0.500, 0.500)
Y (0.000, 0.000, 0.000)

***

A PBEsol-optimized structure of BaAlIrI2. Source: the Alexandria database, functional meta-GGA SCAN.

The calculation puts the formation energy (no corrections) at 190.1 meV per atom. As for the magnetization: 0.00 μB/cell.

Unit cell a=5.402 b=5.402 c=5.653 alpha=90.00 beta=90.00 gamma=90.00
Atoms (fractional coordinates):
I (0.500, 0.000, 0.000)
I (0.000, 0.500, 0.000)
Ba (0.000, 0.000, 0.500)
Ir (0.000, 0.000, 0.000)
Al (0.500, 0.500, 0.500)

***

A PBEsol-optimized structure of Sc5As3. Source: the Alexandria database, functional meta-GGA SCAN.

The calculation puts the formation energy at -1216 meV per atom. As for the magnetization: 0.00 μB/cell.

Unit cell a=7.154 b=8.097 c=10.587 alpha=90.00 beta=90.00 gamma=90.00
Atoms (fractional coordinates):
As (0.565, 0.009, 0.828)
As (0.435, 0.991, 0.172)
As (0.084, 0.250, 0.981)
As (0.065, 0.509, 0.672)
As (0.065, 0.991, 0.672)
As (0.565, 0.491, 0.828)
As (0.916, 0.750, 0.019)
As (0.416, 0.250, 0.481)
As (0.935, 0.491, 0.328)
As (0.435, 0.509, 0.172)
As (0.584, 0.750, 0.519)
As (0.935, 0.009, 0.328)
Sc (0.808, 0.448, 0.070)
Sc (0.808, 0.052, 0.070)
Sc (0.349, 0.750, 0.708)
Sc (0.530, 0.750, 0.997)
Sc (0.308, 0.948, 0.430)
Sc (0.192, 0.552, 0.930)
Sc (0.151, 0.750, 0.208)
Sc (0.692, 0.448, 0.570)
Sc (0.308, 0.552, 0.430)
Sc (0.470, 0.250, 0.003)
Sc (0.192, 0.948, 0.930)
Sc (0.970, 0.750, 0.497)
Sc (0.332, 0.250, 0.724)
Sc (0.832, 0.750, 0.776)
Sc (0.168, 0.250, 0.224)
Sc (0.030, 0.250, 0.503)
Sc (0.668, 0.750, 0.276)
Sc (0.651, 0.250, 0.292)
Sc (0.849, 0.250, 0.792)
Sc (0.692, 0.052, 0.570)

***

A PBEsol-optimized structure of MnBeAs. Source: the Alexandria database, functional meta-GGA SCAN.

The calculation puts the formation energy at -2 meV per atom. For the offset from the most stable computed form, the calculation gives 186.8 meV/atom. As for the magnetization: 3.24 μB/cell.

Unit cell a=3.860 b=3.860 c=3.860 alpha=60.00 beta=60.00 gamma=60.00
Last column: magnetic moment on the atom in μB.
Atoms (fractional coordinates):
As (0.000, 0.000, 0.000)  -0.05
Be (0.500, 0.500, 0.500)  -0.02
Mn (0.250, 0.250, 0.250)  3.18

***

A PBEsol-optimized structure of ScIn2P. Source: the Alexandria database, functional meta-GGA SCAN.

The calculation puts the formation energy at -72 meV per atom. As for the magnetization: 0.85 μB/cell.

Unit cell a=3.612 b=3.612 c=8.166 alpha=77.22 beta=77.22 gamma=60.00
Last column: magnetic moment on the atom in μB.
Atoms (fractional coordinates):
Sc (0.000, 0.000, 0.000)  0.44
In (0.762, 0.762, 0.713)  0.02
In (0.238, 0.238, 0.287)  0.02
P (0.500, 0.500, 0.500)  0.00

***

A PBEsol-optimized structure of LiMn2CrBr. Source: the Alexandria database, functional meta-GGA SCAN.

The calculation puts the formation energy (no corrections) at 509.6 meV per atom. As for the magnetization: 3.41 μB/cell.

Unit cell a=4.269 b=4.269 c=5.585 alpha=90.00 beta=90.00 gamma=90.00
Last column: magnetic moment on the atom in μB.
Atoms (fractional coordinates):
Mn (0.500, 0.000, 0.000)  3.41
Mn (0.000, 0.500, 0.000)  3.41
Cr (0.000, 0.000, 0.000)  -3.28
Br (0.500, 0.500, 0.500)  0.03
Li (0.000, 0.000, 0.500)  -0.02

***

A PBEsol-optimized structure of Re2Mo. Source: the Alexandria database, functional meta-GGA SCAN.

The calculation puts the formation energy at 982 meV per atom. For the offset from the most stable computed form, the calculation gives 872.0 meV/atom. As for the magnetization: 0.00 μB/cell.

Unit cell a=3.666 b=3.666 c=3.881 alpha=90.00 beta=90.00 gamma=90.00
Atoms (fractional coordinates):
Re (0.000, 0.500, 0.500)
Re (0.500, 0.000, 0.500)
Mo (0.000, 0.000, 0.000)

***

A PBEsol-optimized structure of MnBeIr2. Source: the Alexandria database, functional meta-GGA SCAN.

The calculation puts the formation energy at -413 meV per atom. As for the magnetization: 3.94 μB/cell.

Unit cell a=2.779 b=4.411 c=4.820 alpha=117.23 beta=106.76 gamma=90.00
Last column: magnetic moment on the atom in μB.
Atoms (fractional coordinates):
Mn (0.500, 0.000, 0.000)  3.75
Ir (0.279, 0.279, 0.558)  0.05
Ir (0.721, 0.721, 0.442)  0.05
Be (0.000, 0.500, 0.000)  -0.01